Entry 1:
GGA-PBE CaMnSi2Ir, relaxed; M_tot = 0.4948 μB/atom; formation energy without anion corrections = -66 kJ per mole of atoms; E_tot = -6.862 eV per atom; DOS(E_F) = 1.635 states/eV per cell; space-group type = No. 119
1.0
-2.008 2.008 5.163
2.008 -2.008 5.163
2.008 2.008 -5.163
Ca Mn Si Ir
1 1 2 1
Cartesian
0.000 0.000 0.000
0.000 2.008 2.581
0.000 0.000 3.914
0.000 0.000 6.412
2.008 0.000 2.581



Entry 2:
GGA-PBE CaTa2MnIr, relaxed; M_tot = 0.1105 μB/atom; energy relative to the elements = 0.985 eV per atom; E_tot = -7.763 eV per atom; DOS(E_F) = 6.306 states/eV per cell; space-group type = No. 123
1.0
4.914 0.000 0.000
0.000 4.914 0.000
0.000 0.000 4.671
Ca Ta Mn Ir
1 2 1 1
Cartesian
0.000 0.000 0.000
0.000 2.457 2.335
2.457 0.000 2.335
2.457 2.457 0.000
2.457 2.457 2.335



Entry 3:
GGA-PBE CaTaMnIr2, relaxed; M_tot = 0.7812 μB/atom; energy relative to the elements = -0.326 eV per atom; E_tot = -8.476 eV per atom; DOS(E_F) = 3.476 states/eV per cell; space-group type = No. 119
1.0
-2.095 2.095 5.596
2.095 -2.095 5.596
2.095 2.095 -5.596
Ca Ta Mn Ir
1 1 1 2
Cartesian
0.000 0.000 0.000
2.095 0.000 2.798
0.000 2.095 2.798
0.000 0.000 4.309
0.000 0.000 6.883



Entry 4:
GGA-PBE CaMoIr4, relaxed; M_tot = 0.0397 μB/atom; energy relative to the elements = 0.034 eV per atom; E_tot = -8.012 eV per atom; DOS(E_F) = 7.211 states/eV per cell; space-group type = No. 216
1.0
0.000 3.701 3.701
3.701 0.000 3.701
3.701 3.701 0.000
Ca Mo Ir
1 1 4
Cartesian
0.000 0.000 0.000
1.850 1.850 1.850
4.629 2.773 2.773
2.773 4.629 2.773
2.773 2.773 4.629
4.629 4.629 4.629



Entry 5:
GGA-PBE Ca2Mo2Ir, relaxed; M_tot = 0.0000 μB/atom; energy relative to the elements = 1.085 eV per atom; distance to the lowest polymorph of the same formula = 0.648 eV per atom; E_tot = -5.820 eV per atom; DOS(E_F) = 10.290 states/eV per cell; space-group type = No. 127
1.0
8.492 0.000 0.000
0.000 8.492 0.000
0.000 0.000 3.061
Ca Mo Ir
4 4 2
Cartesian
1.730 2.516 0.000
2.516 6.762 0.000
5.976 1.730 0.000
6.762 5.976 0.000
0.762 5.008 1.530
3.484 0.762 1.530
5.008 7.730 1.530
7.730 3.484 1.530
0.000 0.000 0.000
4.246 4.246 0.000



Entry 6:
GGA-PBE CaMo3Ir, relaxed; M_tot = 0.4552 μB/atom; energy relative to the elements = 1.210 eV per atom; distance to the lowest polymorph of the same formula = 0.000 eV per atom; E_tot = -7.461 eV per atom; DOS(E_F) = 5.565 states/eV per cell; space-group type = No. 221
1.0
4.853 0.000 0.000
0.000 4.853 0.000
0.000 0.000 4.853
Ca Mo Ir
1 3 1
Cartesian
0.000 0.000 0.000
0.000 2.426 2.426
2.426 0.000 2.426
2.426 2.426 0.000
2.426 2.426 2.426



Entry 7:
GGA-PBE CaMo2Ir, relaxed; M_tot = 0.0000 μB/atom; energy relative to the elements = 0.377 eV per atom; distance to the lowest polymorph of the same formula = 0.133 eV per atom; E_tot = -7.754 eV per atom; DOS(E_F) = 3.054 states/eV per cell; space-group type = No. 47
1.0
3.111 0.000 0.000
0.000 4.514 0.000
0.000 0.000 4.905
Ca Mo Ir
1 2 1
Cartesian
0.000 0.000 0.000
0.000 2.257 2.452
1.555 0.000 2.452
1.555 2.257 0.000



Entry 8:
GGA-PBE CaMo2Ir, relaxed; M_tot = 0.0000 μB/atom; energy relative to the elements = 0.408 eV per atom; distance to the lowest polymorph of the same formula = 0.163 eV per atom; E_tot = -7.724 eV per atom; DOS(E_F) = 6.751 states/eV per cell; space-group type = No. 123
1.0
2.799 0.000 0.000
0.000 2.799 0.000
0.000 0.000 9.206
Ca Mo Ir
1 2 1
Cartesian
0.000 0.000 0.000
1.400 1.400 2.679
1.400 1.400 6.527
0.000 0.000 4.603



Entry 9:
GGA-PBE CaMo2Ir, relaxed; M_tot = 0.0000 μB/atom; energy relative to the elements = 0.312 eV per atom; distance to the lowest polymorph of the same formula = 0.068 eV per atom; E_tot = -7.819 eV per atom; DOS(E_F) = 3.459 states/eV per cell; space-group type = No. 6
1.0
2.875 0.000 0.000
0.000 4.186 0.000
-1.392 0.000 6.108
Ca Mo Ir
1 2 1
Cartesian
0.000 0.000 0.000
-0.514 0.000 2.994
0.216 2.093 4.214
1.307 2.093 1.747



Entry 10:
GGA-PBE CaMo2Ir, relaxed; M_tot = 0.0000 μB/atom; energy relative to the elements = 0.577 eV per atom; distance to the lowest polymorph of the same formula = 0.333 eV per atom; E_tot = -7.554 eV per atom; DOS(E_F) = 3.106 states/eV per cell; space-group type = No. 225
1.0
0.000 3.222 3.222
3.222 0.000 3.222
3.222 3.222 0.000
Ca Mo Ir
1 2 1
Cartesian
0.000 0.000 0.000
1.611 1.611 1.611
4.833 4.833 4.833
3.222 3.222 3.222



Entry 11:
GGA-PBE Ca2MoIr2, relaxed; M_tot = 0.0000 μB/atom; energy relative to the elements = -0.130 eV per atom; E_tot = -6.641 eV per atom; DOS(E_F) = 6.118 states/eV per cell; space-group type = No. 127
1.0
6.599 0.000 0.000
0.000 6.599 0.000
0.000 0.000 4.846
Ca Mo Ir
4 2 4
Cartesian
1.183 2.117 0.000
2.117 5.417 0.000
4.482 1.183 0.000
5.417 4.482 0.000
0.000 0.000 2.423
3.300 3.300 2.423
0.879 4.178 2.423
2.421 0.879 2.423
4.178 5.721 2.423
5.721 2.421 2.423



Entry 12:
GGA-PBE CaMo4Ir, relaxed; M_tot = 0.0000 μB/atom; energy relative to the elements = 0.389 eV per atom; E_tot = -8.642 eV per atom; DOS(E_F) = 6.100 states/eV per cell; space-group type = No. 216
1.0
0.000 3.752 3.752
3.752 0.000 3.752
3.752 3.752 0.000
Ca Mo Ir
1 4 1
Cartesian
0.000 0.000 0.000
2.805 2.805 2.805
4.699 4.699 2.805
4.699 2.805 4.699
2.805 4.699 4.699
5.628 5.628 5.628